Record 1
The following is a PBE-GGA calculation of KRbZnH4 after structural relaxation, from Alexandria via LeMat-Bulk.

extended XYZ file:
```
14
Lattice="-0.682 1.906 5.640 -4.752 -1.599 -3.282 0.744 -7.822 2.733" Properties=species:S:1:pos:R:3 pbc="T T T"
H -3.758 -1.508 3.036
Zn -0.748 -4.498 6.321
H -1.250 -3.571 5.044
H -0.815 -1.674 1.760
H -3.875 -5.840 3.331
Rb -3.429 -6.806 0.444
Zn -3.942 -3.017 -1.231
H -3.440 -3.943 0.047
K -2.717 0.154 1.179
Rb -1.261 -0.708 4.646
H -3.678 -1.431 -0.831
H -0.932 -6.006 2.054
K -2.345 -3.757 2.545
H -1.012 -6.083 5.921
```

Values from the calculation:
Volume = 256.9 Å³ per cell
Total energy = -2.623 eV/atom
D(E_F) = 0.00 states/eV per cell
Symmetry = Cmcm (63)
Magnetization = 0.00 μB per cell



Record 2
The following is a PBE-GGA calculation of Ti3WCl after structural relaxation, from Alexandria via LeMat-Bulk.

extended XYZ file:
```
5
Lattice="4.398 0.000 0.000 0.000 4.398 0.000 0.000 0.000 4.398" Properties=species:S:1:pos:R:3 pbc="T T T"
W 2.199 2.199 2.199
Ti 2.199 0.000 0.000
Ti 0.000 0.000 2.199
Ti 0.000 2.199 0.000
Cl 0.000 0.000 0.000
```

Values from the calculation:
Volume = 85.1 Å³ per cell
D(E_F) = 8.04 states/eV per cell
ΔE_f (raw) = 0.31 eV per atom
Symmetry = Pm-3m (221)
Magnetization = 0.00 μB per cell
Energy above the lowest structure with this stoichiometry = 0.00 eV/f.u.



Record 3
The following is a PBE-GGA calculation of CsAlInSn2 after structural relaxation, from Alexandria via LeMat-Bulk.

extended XYZ file:
```
5
Lattice="5.425 0.000 0.000 0.000 6.454 0.000 0.000 0.000 5.425" Properties=species:S:1:pos:R:3 pbc="T T T"
Al 0.000 0.000 0.000
In 2.712 3.227 2.712
Sn 0.000 0.000 2.712
Cs 0.000 3.227 0.000
Sn 2.712 0.000 0.000
```

Values from the calculation:
Volume = 190.0 Å³ per cell
D(E_F) = 3.02 states/eV per cell
Symmetry = P4/mmm (123)
Magnetization = 0.00 μB per cell
Formation energy = 0.39 eV/atom



Record 4
The following is a PBE-GGA calculation of TaFeSe2 after structural relaxation, from Alexandria via LeMat-Bulk.

extended XYZ file:
```
4
Lattice="3.181 -0.020 0.000 -1.400 2.857 0.000 0.000 0.000 7.874" Properties=species:S:1:pos:R:3 pbc="T T T"
Ta 0.891 1.418 1.968
Se 0.000 0.000 7.802
Se 0.000 0.000 4.008
Fe 0.891 1.418 5.905
```

Values from the calculation:
Volume = 71.3 Å³ per cell
D(E_F) = 4.14 states/eV per cell
ΔE_f (raw) = 0.29 eV per atom
Symmetry = Cmmm (65)
Magnetization = 3.06 μB per cell
Energy above the lowest structure with this stoichiometry = 3.27 eV/f.u.



Record 5
The following is a PBE-GGA calculation of Li2HAu after structural relaxation, from Alexandria via LeMat-Bulk.

extended XYZ file:
```
4
Lattice="2.652 -1.128 3.197 -0.720 -3.617 2.218 2.629 -3.374 -0.475" Properties=species:S:1:pos:R:3 pbc="T T T"
H 0.000 0.000 0.000
Li 3.420 -6.090 3.705
Au 2.280 -4.060 2.470
Li 1.140 -2.030 1.235
```

Values from the calculation:
Volume = 56.4 Å³ per cell
D(E_F) = 0.52 states/eV per cell
Symmetry = Fm-3m (225)
Magnetization = 0.00 μB per cell
Energy above the lowest structure with this stoichiometry = 1.29 eV/f.u.



Record 6
The following is a PBE-GGA calculation of KBi2Te4Au after structural relaxation, from Alexandria via LeMat-Bulk.

extended XYZ file:
```
16
Lattice="4.623 0.000 0.000 -2.312 7.421 0.000 0.000 0.000 16.452" Properties=species:S:1:pos:R:3 pbc="T T T"
Bi 0.000 5.421 9.240
K 0.000 1.836 12.339
Te 2.312 3.415 9.982
Au 2.312 5.230 12.339
Bi 2.312 2.000 7.212
K 2.312 5.585 4.113
Te 2.312 0.856 4.113
Te 0.000 0.000 0.000
Bi 2.312 2.000 1.014
Bi 0.000 5.421 15.438
Te 0.000 0.000 8.226
Te 2.312 3.415 14.696
Te 0.000 6.565 12.339
Te 0.000 4.005 1.756
Te 0.000 4.005 6.470
Au 0.000 2.190 4.113
```

Values from the calculation:
Volume = 564.5 Å³ per cell
D(E_F) = 1.91 states/eV per cell
ΔE_f (raw) = -0.34 eV per atom
Symmetry = Cmcm (63)
Magnetization = 0.00 μB per cell



Record 7
The following is a PBE-GGA calculation of PtSICl2 after structural relaxation, from Alexandria via LeMat-Bulk.

extended XYZ file:
```
5
Lattice="-0.107 -1.249 -4.729 -4.066 -2.607 0.780 -2.675 3.882 -0.965" Properties=species:S:1:pos:R:3 pbc="T T T"
S -1.337 1.941 -0.482
Cl -0.053 -0.625 -2.365
Pt 0.000 0.000 0.000
Cl -2.033 -1.304 0.390
I -3.423 0.013 -2.457
```

Values from the calculation:
Volume = 115.2 Å³ per cell
D(E_F) = 5.54 states/eV per cell
ΔE_f (raw) = 0.23 eV per atom
Symmetry = P4/mmm (123)
Magnetization = 0.00 μB per cell
Energy above the lowest structure with this stoichiometry = 0.00 eV/f.u.



Record 8
The following is a PBE-GGA calculation of BaSr2Y after structural relaxation, from Alexandria via LeMat-Bulk.

extended XYZ file:
```
4
Lattice="3.950 0.022 0.000 -1.354 3.711 0.000 0.000 0.000 12.992" Properties=species:S:1:pos:R:3 pbc="T T T"
Ba 1.298 1.866 9.744
Sr 0.000 0.000 0.282
Sr 0.000 0.000 6.215
Y 1.298 1.866 3.248
```

Values from the calculation:
Volume = 190.8 Å³ per cell
D(E_F) = 6.14 states/eV per cell
Symmetry = Cmmm (65)
Magnetization = 0.01 μB per cell
Energy above the lowest structure with this stoichiometry = 0.06 eV/f.u.
Formation energy = 0.16 eV/atom



Record 9
The following is a PBE-GGA calculation of RbLiTl2Pd after structural relaxation, from Alexandria via LeMat-Bulk.

extended XYZ file:
```
5
Lattice="5.390 0.000 0.000 0.000 5.390 0.000 0.000 0.000 5.281" Properties=species:S:1:pos:R:3 pbc="T T T"
Pd 0.000 0.000 0.000
Li 0.000 0.000 2.641
Rb 2.695 2.695 2.641
Tl 2.695 0.000 0.000
Tl 0.000 2.695 0.000
```

Values from the calculation:
Volume = 153.4 Å³ per cell
D(E_F) = 3.08 states/eV per cell
Symmetry = P4/mmm (123)
Magnetization = 0.00 μB per cell
Formation energy = -0.13 eV/atom



Record 10
The following is a PBE-GGA calculation of Tl2Fe2Si after structural relaxation, from Alexandria via LeMat-Bulk.

extended XYZ file:
```
10
Lattice="6.226 0.000 0.000 0.000 6.226 0.000 0.000 0.000 4.618" Properties=species:S:1:pos:R:3 pbc="T T T"
Fe 0.881 2.231 0.000
Tl 2.030 1.083 2.309
Fe 3.994 0.881 0.000
Fe 2.231 5.344 0.000
Si 0.000 0.000 0.000
Si 3.113 3.113 0.000
Fe 5.344 3.994 0.000
Tl 5.143 2.030 2.309
Tl 4.196 5.143 2.309
Tl 1.083 4.196 2.309
```

Values from the calculation:
Volume = 179.0 Å³ per cell
D(E_F) = 6.56 states/eV per cell
ΔE_f (raw) = 0.42 eV per atom
Symmetry = P4/mbm (127)
Magnetization = 8.38 μB per cell
Energy above the lowest structure with this stoichiometry = 0.00 eV/f.u.



Record 11
The following is a PBE-GGA calculation of TaPSe3 after structural relaxation, from Alexandria via LeMat-Bulk.

extended XYZ file:
```
20
Lattice="-1.835 3.057 0.138 -10.425 -4.266 4.274 4.326 2.028 12.576" Properties=species:S:1:pos:R:3 pbc="T T T"
Se 2.588 2.127 12.090
Se -5.063 0.809 9.874
Se -1.628 0.895 10.682
Se -6.307 -0.076 6.306
Ta -5.096 -1.114 8.154
Se -2.872 0.010 7.114
Se -10.523 -1.307 4.898
Se -0.544 2.400 7.375
Ta -5.557 -0.989 15.488
P -4.686 0.741 13.896
Se -5.031 1.174 1.920
Se -7.442 0.439 13.809
P -3.249 0.078 3.092
Ta -2.839 1.934 8.834
Se -2.904 -0.354 15.068
P 0.476 0.891 8.875
Ta -2.378 1.808 1.500
Se -7.391 -1.581 9.614
Se -0.493 0.380 3.179
P -8.411 -0.072 8.113
```

Values from the calculation:
Volume = 571.4 Å³ per cell
ΔE_f (raw) = -0.38 eV per atom
Symmetry = P2_1/c (14)
Magnetization = 0.00 μB per cell
Energy above the lowest structure with this stoichiometry = 0.00 eV/f.u.



Record 12
The following is a PBE-GGA calculation of V2Co2Ru after structural relaxation, from Alexandria via LeMat-Bulk.

extended XYZ file:
```
10
Lattice="-4.347 -1.327 4.849 -2.205 -5.258 -3.415 1.898 -1.614 1.260" Properties=species:S:1:pos:R:3 pbc="T T T"
V -1.292 -4.580 -0.829
V -0.853 -2.154 1.618
Co -1.375 -2.129 -0.656
Co -3.007 -1.501 2.607
V -3.802 -6.045 1.075
Ru -3.276 -3.292 0.717
Co -3.545 -5.084 -1.173
Ru 0.000 0.000 0.000
Co -5.177 -4.456 2.090
V -3.362 -3.618 3.522
```

Values from the calculation:
Volume = 123.3 Å³ per cell
D(E_F) = 14.60 states/eV per cell
Symmetry = P4/mbm (127)
Magnetization = 0.00 μB per cell
Energy above the lowest structure with this stoichiometry = 0.00 eV/f.u.
Formation energy = -0.08 eV/atom



> Which formula does entry 11 have?

TaPSe3



> Which formula does entry 12 have?

V2Co2Ru